[1]
Compound: Ti6AlOs
Source: Alexandria via LeMat-Bulk
Functional: PBE
Structure: relaxed

Properties
Its total energy is -7.986 eV per atom.

CIF file:
```
data_Ti6AlOs
_chemical_formula_sum 'Ti12 Al2 Os2'
_space_group_name_H-M_alt 'A m m 2'
_space_group_IT_number 38
_cell_length_a 4.669
_cell_length_b 5.825
_cell_length_c 9.586
_cell_angle_alpha 90.00
_cell_angle_beta 90.00
_cell_angle_gamma 90.00
loop_
_space_group_symop_operation_xyz
'x,y,z'
'-x,-y,z'
'-x,y,z'
'x,-y,z'
'x,y+1/2,z+1/2'
'-x,-y+1/2,z+1/2'
'-x,y+1/2,z+1/2'
'x,-y+1/2,z+1/2'
loop_
_atom_site_label
_atom_site_fract_x
_atom_site_fract_y
_atom_site_fract_z
Ti1 0.000 0.000 0.000
Ti2 0.000 0.234 0.251
Ti3 0.500 0.000 0.696
Ti4 0.500 0.245 0.447
Al1 0.000 0.000 0.513
Os1 0.500 0.000 0.197
```



[2]
Compound: TiAl2Os2
Source: Alexandria via LeMat-Bulk
Functional: PBE
Structure: relaxed

Properties
The calculation puts the excess energy over the best structure of this formula in the dataset at 0.566 eV/atom.

CIF file:
```
data_TiAl2Os2
_chemical_formula_sum 'Ti2 Al4 Os4'
_space_group_name_H-M_alt 'I 4/m m m'
_space_group_IT_number 139
_space_group_name_Hall '-I 4 2'
_cell_length_a 3.870
_cell_length_b 3.870
_cell_length_c 10.974
_cell_angle_alpha 90.00
_cell_angle_beta 90.00
_cell_angle_gamma 90.00
loop_
_atom_site_label
_atom_site_fract_x
_atom_site_fract_y
_atom_site_fract_z
Ti1 0.000 0.000 0.000
Al1 0.000 0.000 0.391
Os1 0.000 0.500 0.250
```



[3]
Compound: TiAl5Os
Source: Alexandria via LeMat-Bulk
Functional: PBE
Structure: relaxed

Properties
Its total energy is -5.789 eV per atom.

CIF file:
```
data_TiAl5Os
_chemical_formula_sum 'Ti1 Al5 Os1'
_space_group_name_H-M_alt 'P 4/m m m'
_space_group_IT_number 123
_space_group_name_Hall '-P 4 2'
_cell_length_a 4.171
_cell_length_b 4.171
_cell_length_c 6.639
_cell_angle_alpha 90.00
_cell_angle_beta 90.00
_cell_angle_gamma 90.00
loop_
_atom_site_label
_atom_site_fract_x
_atom_site_fract_y
_atom_site_fract_z
Ti1 0.000 0.000 0.000
Al1 0.000 0.500 0.293
Al2 0.500 0.500 0.000
Os1 0.000 0.000 0.500
```



[4]
Compound: TiAl3Os
Source: Alexandria via LeMat-Bulk
Functional: PBE
Structure: relaxed

Properties
The calculation puts the excess energy over the best structure of this formula in the dataset at 0.000 eV/atom.

CIF file:
```
data_TiAl3Os
_chemical_formula_sum 'Ti3 Al9 Os3'
_space_group_name_H-M_alt 'P m -3 m'
_space_group_IT_number 221
_space_group_name_Hall '-P 4 2 3'
_cell_length_a 6.154
_cell_length_b 6.154
_cell_length_c 6.154
_cell_angle_alpha 90.00
_cell_angle_beta 90.00
_cell_angle_gamma 90.00
loop_
_atom_site_label
_atom_site_fract_x
_atom_site_fract_y
_atom_site_fract_z
Ti1 0.000 0.000 0.500
Al1 0.000 0.000 0.000
Al2 0.279 0.279 0.279
Os1 0.000 0.500 0.500
```



[5]
Compound: TiAl4Os5
Source: Alexandria via LeMat-Bulk
Functional: PBE
Structure: relaxed

Properties
Its total energy is -8.355 eV per atom.

CIF file:
```
data_TiAl4Os5
_chemical_formula_sum 'Ti1 Al4 Os5'
_space_group_name_H-M_alt 'P 4/m m m'
_space_group_IT_number 123
_space_group_name_Hall '-P 4 2'
_cell_length_a 3.047
_cell_length_b 3.047
_cell_length_c 15.032
_cell_angle_alpha 90.00
_cell_angle_beta 90.00
_cell_angle_gamma 90.00
loop_
_atom_site_label
_atom_site_fract_x
_atom_site_fract_y
_atom_site_fract_z
Ti1 0.000 0.000 0.000
Al1 0.000 0.000 0.202
Al2 0.000 0.000 0.401
Os1 0.500 0.500 0.102
Os2 0.500 0.500 0.301
Os3 0.500 0.500 0.500
```



[6]
Compound: TiAl2Os2
Source: Alexandria via LeMat-Bulk
Functional: PBE
Structure: relaxed

Properties
The calculation puts the excess energy over the best structure of this formula in the dataset at 0.107 eV/atom.

CIF file:
```
data_TiAl2Os2
_chemical_formula_sum 'Ti2 Al4 Os4'
_space_group_name_H-M_alt 'P 4/m b m'
_space_group_IT_number 127
_space_group_name_Hall '-P 4 2ab'
_cell_length_a 7.172
_cell_length_b 7.172
_cell_length_c 2.887
_cell_angle_alpha 90.00
_cell_angle_beta 90.00
_cell_angle_gamma 90.00
loop_
_atom_site_label
_atom_site_fract_x
_atom_site_fract_y
_atom_site_fract_z
Ti1 0.000 0.000 0.000
Al1 0.126 0.374 0.000
Os1 0.173 0.673 0.500
```



[7]
Compound: Ti5AlOs6
Source: Alexandria via LeMat-Bulk
Functional: PBE
Structure: relaxed

Properties
Its total energy is -9.894 eV per atom.

CIF file:
```
data_Ti5AlOs6
_chemical_formula_sum 'Ti10 Al2 Os12'
_space_group_name_H-M_alt 'I m m m'
_space_group_IT_number 71
_space_group_name_Hall '-I 2 2'
_cell_length_a 4.358
_cell_length_b 6.156
_cell_length_c 13.069
_cell_angle_alpha 90.00
_cell_angle_beta 90.00
_cell_angle_gamma 90.00
loop_
_atom_site_label
_atom_site_fract_x
_atom_site_fract_y
_atom_site_fract_z
Ti1 0.000 0.000 0.000
Ti2 0.000 0.000 0.337
Ti3 0.000 0.500 0.333
Al1 0.000 0.500 0.000
Os1 0.000 0.249 0.168
Os2 0.000 0.252 0.500
```



[8]
Compound: Ti3AlOs4
Source: Alexandria via LeMat-Bulk
Functional: PBE
Structure: relaxed

Properties
Its total energy is -9.702 eV per atom.

CIF file:
```
data_Ti3AlOs4
_chemical_formula_sum 'Ti3 Al1 Os4'
_space_group_name_H-M_alt 'P 4/m m m'
_space_group_IT_number 123
_space_group_name_Hall '-P 4 2'
_cell_length_a 3.084
_cell_length_b 3.084
_cell_length_c 12.212
_cell_angle_alpha 90.00
_cell_angle_beta 90.00
_cell_angle_gamma 90.00
loop_
_atom_site_label
_atom_site_fract_x
_atom_site_fract_y
_atom_site_fract_z
Ti1 0.000 0.000 0.000
Ti2 0.000 0.000 0.256
Al1 0.000 0.000 0.500
Os1 0.500 0.500 0.126
Os2 0.500 0.500 0.376
```



| no. | total magnetic moment (μB per formula unit) |
| --- | --- |
| 1 | 0.0 |
| 2 | 0.0 |
| 3 | 0.0 |
| 4 | 0.4 |
| 5 | 0.0 |
| 6 | 0.0 |
| 7 | 0.0 |
| 8 | 0.0 |